Ca3U2PaN6 | PBE | optimized geometry

Size of the total moment ... 4.28 μB/f.u.
Calculated volume ... 183.64 Å³/cell
N(E_F) ... 1.097 states/eV per atom
Raw formation energy ... -1.32 eV/atom

a b c (Å): 6.089 6.089 6.070
angles (deg): 99.64 99.64 119.99
Atoms (fractional coordinates):
Ca 0.167 0.833 0.500
Ca 0.833 0.167 0.500
Ca 0.500 0.500 0.500
U 0.333 0.667 0.000
U 0.667 0.333 0.000
Pa 0.000 0.000 0.000
N 0.929 0.594 0.786
N 0.736 0.736 0.215
N 0.071 0.406 0.214
N 0.594 0.929 0.786
N 0.264 0.264 0.785
N 0.406 0.071 0.214